Entry 1:
The following is a DFT calculation (meta-GGA SCAN) of Y2TcOs at its PBEsol-relaxed geometry.

abc: 3.3671 5.0061 8.9026
angles: 90.00 90.00 90.00
Atoms (fractional coordinates):
1 Y 0.0000 0.0000 0.2502
2 Y 0.0000 0.0000 0.7498
3 Y 0.5000 0.5000 0.2498
4 Y 0.5000 0.5000 0.7502
5 Tc 0.0000 0.5000 0.0000
6 Tc 0.5000 0.0000 0.5000
7 Os 0.0000 0.5000 0.5000
8 Os 0.5000 0.0000 0.0000

Computed properties:
DOS at the Fermi energy (states/eV per cell): 5.83
Space group: No. 71
Energy of formation from the pure elements (kJ per mole of atoms): 27

=====

Entry 2:
The following is a DFT calculation (meta-GGA SCAN) of Y2TcOs at its PBEsol-relaxed geometry.

abc: 6.6561 6.6561 6.6561
angles: 90.00 90.00 90.00
Atoms (fractional coordinates):
1 Y 0.0000 0.0000 0.0000
2 Y 0.0000 0.5000 0.5000
3 Y 0.2500 0.2500 0.2500
4 Y 0.2500 0.7500 0.7500
5 Y 0.5000 0.0000 0.5000
6 Y 0.5000 0.5000 0.0000
7 Y 0.7500 0.2500 0.7500
8 Y 0.7500 0.7500 0.2500
9 Tc 0.0000 0.0000 0.5000
10 Tc 0.0000 0.5000 0.0000
11 Tc 0.5000 0.0000 0.0000
12 Tc 0.5000 0.5000 0.5000
13 Os 0.2500 0.2500 0.7500
14 Os 0.2500 0.7500 0.2500
15 Os 0.7500 0.2500 0.2500
16 Os 0.7500 0.7500 0.7500

Computed properties:
DOS at the Fermi energy (states/eV per cell): 13.28
Space group: No. 216
Energy of formation from the pure elements (kJ per mole of atoms): 21

=====

Entry 3:
The following is a DFT calculation (meta-GGA SCAN) of ZnTcOs2 at its PBEsol-relaxed geometry.

abc: 5.3490 8.6727 2.6721
angles: 90.00 115.34 90.00
Atoms (fractional coordinates):
1 Zn 0.0000 0.0000 0.0000
2 Zn 0.5000 0.5000 0.0000
3 Tc 0.0000 0.5000 0.0000
4 Tc 0.5000 0.0000 0.0000
5 Os 0.2500 0.2500 0.5000
6 Os 0.2500 0.7500 0.5000
7 Os 0.7500 0.2500 0.5000
8 Os 0.7500 0.7500 0.5000

Computed properties:
DOS at the Fermi energy (states/eV per cell): 7.22
Space group: No. 12
Energy of formation from the pure elements (kJ per mole of atoms): 40

=====

Entry 4:
The following is a DFT calculation (meta-GGA SCAN) of ZnTcOs2 at its PBEsol-relaxed geometry.

abc: 2.7167 2.7167 7.5121
angles: 90.00 90.00 90.00
Atoms (fractional coordinates):
1 Zn 0.0000 0.0000 0.0000
2 Tc 0.5000 0.5000 0.7447
3 Os 0.0000 0.0000 0.4953
4 Os 0.5000 0.5000 0.2504

Computed properties:
DOS at the Fermi energy (states/eV per cell): 3.82
Space group: No. 99
Energy of formation from the pure elements (kJ per mole of atoms): 16

=====

Entry 5:
The following is a DFT calculation (meta-GGA SCAN) of ZnTcOs2 at its PBEsol-relaxed geometry.

abc: 2.7315 3.8893 5.1772
angles: 90.00 90.00 90.00
Atoms (fractional coordinates):
1 Zn 0.0000 0.0000 0.0000
2 Tc 0.5000 0.5000 0.7560
3 Os 0.0000 0.0000 0.5012
4 Os 0.5000 0.5000 0.2386

Computed properties:
DOS at the Fermi energy (states/eV per cell): 2.91
Space group: No. 25
Energy of formation from the pure elements (kJ per mole of atoms): 15

=====

Entry 6:
The following is a DFT calculation (meta-GGA SCAN) of ZrTc2Os at its PBEsol-relaxed geometry.

abc: 2.8373 3.7503 5.9076
angles: 90.00 90.00 90.00
Atoms (fractional coordinates):
1 Zr 0.0000 0.0000 0.0000
2 Tc 0.0000 0.0000 0.4964
3 Tc 0.5000 0.5000 0.7157
4 Os 0.5000 0.5000 0.2790

Computed properties:
DOS at the Fermi energy (states/eV per cell): 4.17
Space group: No. 25
Energy relative to the lowest polymorph listed for this composition (eV per atom): 0.010
Energy of formation from the pure elements (kJ per mole of atoms): 2